1.
## Ac2YCdO6 (PBE-GGA)

Data for a geometry-optimized Ac2YCdO6 structure.

Cell lengths 5.9866, 6.2039, 10.4816 Å; angles 90.00, 123.55, 90.00 degrees
Last column: nearest neighbours and their distance in Å.
Space group P2_1/c (No. 14)
Asymmetric unit:
Ac (0.2271, 0.0550, 0.2461)  5 O 2.47-2.74
Y (0.5000, 0.0000, 0.0000)  6 O 2.25-2.27
Cd (0.0000, 0.0000, 0.5000)  6 O 2.28-2.39
O (0.1382, 0.1972, 0.9388)  1 Y 2.25, 1 Cd 2.28, 1 Ac 2.51
O (0.2304, 0.7063, 0.9291)  1 Y 2.27, 1 Cd 2.29, 1 Ac 2.50
O (0.3782, 0.0565, 0.7558)  1 Y 2.27, 1 Cd 2.39, 1 Ac 2.47

For the uncorrected energy, the calculation gives -72.1 eV per formula unit. The density of states at the Fermi level is 0.73 states/eV/atom.


2.
## Ac2Zn2CdO6 (PBE-GGA)

Data for a geometry-optimized Ac2Zn2CdO6 structure.

Cell lengths 6.0249, 6.0249, 17.4512 Å; angles 90.00, 90.00, 120.00 degrees
Last column: nearest neighbours and their distance in Å.
Space group R-3m (No. 166, hexagonal axes)
Asymmetric unit:
Ac (0.0000, 0.0000, 0.2025)  3 O 2.44
Zn (0.0000, 0.0000, 0.4238)  3 O 1.88
Cd (0.0000, 0.0000, 0.0000)  6 O 2.33
O (0.0260, 0.5130, 0.7636)  1 Zn 1.88

For the uncorrected energy, the calculation gives -62.8 eV per formula unit.


3.
## Ac2ZrCdO6 (PBE-GGA)

Data for a geometry-optimized Ac2ZrCdO6 structure.

Cell lengths 5.9369, 6.1540, 10.3521 Å; angles 90.00, 124.61, 90.00 degrees
Last column: nearest neighbours and their distance in Å.
Space group P2_1/c (No. 14)
Asymmetric unit:
Ac (0.2332, 0.0526, 0.2473)  5 O 2.47-2.77
Zr (0.5000, 0.0000, 0.0000)  6 O 2.12-2.14
Cd (0.0000, 0.0000, 0.5000)  6 O 2.34-2.37
O (0.1581, 0.1873, 0.9474)  1 Zr 2.12, 1 Cd 2.34
O (0.2496, 0.7161, 0.9351)  1 Zr 2.14, 1 Cd 2.36
O (0.3754, 0.0475, 0.7643)  1 Zr 2.13, 1 Cd 2.37

For the uncorrected energy, the calculation gives -76.7 eV per formula unit. The density of states at the Fermi level is 0.00 states/eV/atom.


4.
## Ac4CdOs (PBE-GGA)

Data for a geometry-optimized Ac4CdOs structure.

Cell lengths 14.8667, 14.8667, 14.8667 Å; angles 90.00, 90.00, 90.00 degrees
Last column: nearest neighbours and their distance in Å.
Space group F-43m (No. 216)
Asymmetric unit:
Ac (0.0000, 0.0000, 0.1896)  2 Os 3.00
Ac (0.0586, 0.2500, 0.2500)  2 Cd 3.63, 10 Ac 3.75-4.02, 2 Os 3.75
Ac (0.1551, 0.1551, 0.6551)  3 Os 3.09
Cd (0.0777, 0.0777, 0.4223)  3 Cd 3.27, 3 Ac 3.63
Os (0.1382, 0.1382, 0.8618)  6 Ac 3.00-3.09

The density of states at the Fermi level is 0.89 states/eV/atom. For the formation energy from the elements, the calculation gives -156 meV per atom.


5.
## Ac3CdOs (PBE-GGA)

Data for a geometry-optimized Ac3CdOs structure.

Cell lengths 5.8053, 5.8053, 5.8053 Å; angles 90.00, 90.00, 90.00 degrees
Last column: nearest neighbours and their distance in Å.
Space group Pm-3m (No. 221)
Asymmetric unit:
Ac (0.0000, 0.0000, 0.5000)  2 Os 2.90
Cd (0.5000, 0.5000, 0.5000)  12 Ac 4.10
Os (0.0000, 0.0000, 0.0000)  6 Ac 2.90

The density of states at the Fermi level is 0.82 states/eV/atom. For the formation energy from the elements, the calculation gives -33 meV per atom.


6.
## Ac12CdOs6 (PBE-GGA)

Data for a geometry-optimized Ac12CdOs6 structure.

Cell lengths 15.4339, 15.4339, 9.3207 Å; angles 90.00, 90.00, 120.00 degrees
Last column: nearest neighbours and their distance in Å.
Space group R-3 (No. 148, hexagonal axes)
Asymmetric unit:
Ac (0.0238, 0.1687, 0.1652)  2 Os 2.97-2.98
Ac (0.0369, 0.2682, 0.5684)  2 Os 3.02-3.08
Cd (0.0000, 0.0000, 0.5000)  12 Ac 3.94-3.96
Os (0.0194, 0.4541, 0.5909)  1 Os 2.47

The density of states at the Fermi level is 0.98 states/eV/atom. For the formation energy from the elements, the calculation gives -8 meV per atom.


7.
## Ac6Cd2Os (PBE-GGA)

Data for a geometry-optimized Ac6Cd2Os structure.

Cell lengths 7.6494, 8.1320, 13.6264 Å; angles 90.00, 123.60, 90.00 degrees
Last column: nearest neighbours and their distance in Å.
Space group P2_1/c (No. 14)
Asymmetric unit:
Ac (0.1429, 0.1932, 0.4537)  1 Os 2.90
Ac (0.2658, 0.6935, 0.4538)  1 Os 2.93
Ac (0.3555, 0.0108, 0.2524)  1 Os 2.91
Cd (0.2059, 0.0891, 0.7466)  7 Ac 3.43-3.84
Os (0.5000, 0.0000, 0.5000)  6 Ac 2.90-2.93

The density of states at the Fermi level is 1.19 states/eV/atom. For the formation energy from the elements, the calculation gives -119 meV per atom.


8.
## Ac3CdOs (PBE-GGA)

Data for a geometry-optimized Ac3CdOs structure.

Cell lengths 13.3749, 6.0215, 9.5961 Å; angles 90.00, 111.40, 90.00 degrees
Last column: nearest neighbours and their distance in Å.
Space group C2/m (No. 12)
Asymmetric unit:
Ac (0.1021, 0.0000, 0.2206)  2 Os 2.88-2.98
Ac (0.1314, 0.5000, 0.9163)  3 Os 3.01-3.02
Ac (0.1589, 0.0000, 0.6469)  1 Os 2.85
Cd (0.0971, 0.5000, 0.4488)  1 Cd 3.09
Os (0.1277, 0.0000, 0.9252)  6 Ac 2.85-3.02

The density of states at the Fermi level is 0.86 states/eV/atom. For the formation energy from the elements, the calculation gives -94 meV per atom.


9.
## Ac5Cd2Os (PBE-GGA)

Data for a geometry-optimized Ac5Cd2Os structure.

Cell lengths 10.0740, 13.3348, 4.4297 Å; angles 90.00, 90.00, 90.00 degrees
Last column: nearest neighbours and their distance in Å.
Space group Pbam (No. 55)
Asymmetric unit:
Ac (0.0000, 0.0000, 0.0000)  4 Cd 3.36
Ac (0.1262, 0.3010, 0.0000)  1 Os 2.94
Ac (0.1756, 0.5651, 0.5000)  2 Os 2.96
Cd (0.0957, 0.8245, 0.5000)  7 Ac 3.36-3.59
Os (0.0000, 0.5000, 0.0000)  6 Ac 2.94-2.96

The density of states at the Fermi level is 1.14 states/eV/atom. For the formation energy from the elements, the calculation gives -162 meV per atom.


10.
## Ac6CdOs (PBE-GGA)

Data for a geometry-optimized Ac6CdOs structure.

Cell lengths 14.7386, 11.1440, 11.4573 Å; angles 90.00, 128.37, 90.00 degrees
Last column: nearest neighbours and their distance in Å.
Space group C2/m (No. 12)
Asymmetric unit:
Ac (0.0363, 0.1796, 0.2154)  1 Os 2.90
Ac (0.1358, 0.5000, 0.4398)  2 Os 3.10
Ac (0.1685, 0.1781, 0.6606)  1 Os 2.87
Ac (0.2332, 0.0000, 0.1368)  2 Cd 3.28
Cd (0.2500, 0.2500, 0.0000)  6 Ac 3.28-3.40
Os (0.2500, 0.2500, 0.5000)  6 Ac 2.87-3.10

The density of states at the Fermi level is 1.23 states/eV/atom. For the formation energy from the elements, the calculation gives 130 meV per atom.


11.
## Ac8Cd2Os3 (PBE-GGA)

Data for a geometry-optimized Ac8Cd2Os3 structure.

Cell lengths 15.4719, 8.7077, 7.6705 Å; angles 90.00, 90.26, 90.00 degrees
Last column: nearest neighbours and their distance in Å.
Space group C2/m (No. 12)
Asymmetric unit:
Ac (0.0978, 0.2482, 0.3271)  2 Os 2.93-2.96
Ac (0.1009, 0.0000, 0.8394)  3 Os 3.02-3.03
Ac (0.1130, 0.5000, 0.8628)  2 Os 2.92
Cd (0.2476, 0.0000, 0.4988)  6 Ac 3.43-3.52, 1 Os 3.83
Os (0.0000, 0.0000, 0.5000)  6 Ac 2.96-3.03
Os (0.0000, 0.2601, 0.0000)  6 Ac 2.92-3.02

The density of states at the Fermi level is 0.82 states/eV/atom. For the formation energy from the elements, the calculation gives -35 meV per atom.


12.
## Ac5CdOs2 (PBE-GGA)

Data for a geometry-optimized Ac5CdOs2 structure.

Cell lengths 8.4064, 8.4064, 14.9114 Å; angles 90.00, 90.00, 90.00 degrees
Last column: nearest neighbours and their distance in Å.
Space group I4/mcm (No. 140)
Asymmetric unit:
Ac (0.0000, 0.0000, 0.0000)  4 Os 3.25
Ac (0.1590, 0.3410, 0.1278)  3 Os 3.05-3.16
Cd (0.0000, 0.0000, 0.2500)  10 Ac 3.65-3.73
Os (0.1402, 0.3598, 0.5000)  8 Ac 3.05-3.25, 1 Os 3.33

The density of states at the Fermi level is 0.82 states/eV/atom. For the formation energy from the elements, the calculation gives -119 meV per atom.